--- one ---
# LaNi2SnSb GGA-PBE optimized geometry
data_LaNi2SnSb
_chemical_formula_sum 'La2 Ni4 Sn2 Sb2'
_cell_length_a 4.544
_cell_length_b 4.544
_cell_length_c 9.999
_cell_angle_alpha 90.00
_cell_angle_beta 90.00
_cell_angle_gamma 90.00
_symmetry_space_group_name_H-M 'P 4/n m m'
_symmetry_Int_Tables_number 129
loop_
_symmetry_equiv_pos_as_xyz
'x,y,z'
'-x,-y,-z'
'-y+1/2,x,z'
'y+1/2,-x,-z'
'-x+1/2,-y+1/2,z'
'x+1/2,y+1/2,-z'
'y,-x+1/2,z'
'-y,x+1/2,-z'
'x+1/2,-y,-z'
'-x+1/2,y,z'
'-y,-x,-z'
'y,x,z'
'-x,y+1/2,-z'
'x,-y+1/2,z'
'y+1/2,x+1/2,-z'
'-y+1/2,-x+1/2,z'
loop_
_atom_site_label
_atom_site_type_symbol
_atom_site_fract_x
_atom_site_fract_y
_atom_site_fract_z
La1 La 0.250 0.250 0.240
Ni1 Ni 0.250 0.250 0.619
Ni2 Ni 0.250 0.750 0.000
Sn1 Sn 0.250 0.250 0.875
Sb1 Sb 0.250 0.750 0.500
# Mass density, g/cm³: 7.992


--- two ---
# LaNi2SnSb GGA-PBE optimized geometry
data_LaNi2SnSb
_chemical_formula_sum 'La2 Ni4 Sn2 Sb2'
_cell_length_a 4.442
_cell_length_b 4.442
_cell_length_c 10.304
_cell_angle_alpha 90.00
_cell_angle_beta 90.00
_cell_angle_gamma 90.00
_symmetry_space_group_name_H-M 'P 4/n m m'
_symmetry_Int_Tables_number 129
loop_
_symmetry_equiv_pos_as_xyz
'x,y,z'
'-x,-y,-z'
'-y+1/2,x,z'
'y+1/2,-x,-z'
'-x+1/2,-y+1/2,z'
'x+1/2,y+1/2,-z'
'y,-x+1/2,z'
'-y,x+1/2,-z'
'x+1/2,-y,-z'
'-x+1/2,y,z'
'-y,-x,-z'
'y,x,z'
'-x,y+1/2,-z'
'x,-y+1/2,z'
'y+1/2,x+1/2,-z'
'-y+1/2,-x+1/2,z'
loop_
_atom_site_label
_atom_site_type_symbol
_atom_site_fract_x
_atom_site_fract_y
_atom_site_fract_z
La1 La 0.250 0.250 0.239
Ni1 Ni 0.250 0.250 0.630
Ni2 Ni 0.250 0.750 0.000
Sn1 Sn 0.250 0.750 0.500
Sb1 Sb 0.250 0.250 0.873
# Mass density, g/cm³: 8.114


Which is the most stable structure? two is the most stable.


--- one ---
# LaSmNi4 GGA-PBE optimized geometry
data_LaSmNi4
_chemical_formula_sum 'La2 Sm2 Ni8'
_cell_length_a 5.4724
_cell_length_b 5.4724
_cell_length_c 8.1536
_cell_angle_alpha 90.00
_cell_angle_beta 90.00
_cell_angle_gamma 120.00
_symmetry_space_group_name_H-M 'P 6/m m m'
_symmetry_Int_Tables_number 191
_symmetry_space_group_name_Hall '-P 6 2'
loop_
_atom_site_label
_atom_site_type_symbol
_atom_site_fract_x
_atom_site_fract_y
_atom_site_fract_z
La1 La 0.0000 0.0000 0.0000
La2 La 0.0000 0.0000 0.5000
Sm1 Sm 0.3333 0.6667 0.0000
Ni1 Ni 0.0000 0.5000 0.2796
Ni2 Ni 0.3333 0.6667 0.5000
# Mass density, g/cm³: 8.230


--- two ---
# LaSmNi4 GGA-PBE optimized geometry
data_LaSmNi4
_chemical_formula_sum 'La4 Sm4 Ni16'
_cell_length_a 7.291
_cell_length_b 7.291
_cell_length_c 7.291
_cell_angle_alpha 90.00
_cell_angle_beta 90.00
_cell_angle_gamma 90.00
_symmetry_space_group_name_H-M 'F -4 3 m'
_symmetry_Int_Tables_number 216
_symmetry_space_group_name_Hall 'F -4 2 3'
loop_
_atom_site_label
_atom_site_type_symbol
_atom_site_fract_x
_atom_site_fract_y
_atom_site_fract_z
La1 La 0.000 0.000 0.000
Sm1 Sm 0.250 0.250 0.250
Ni1 Ni 0.124 0.124 0.624
# Mass density, g/cm³: 8.979


Which is the most stable structure? two is the most stable.


--- one ---
# LaZnNi GGA-PBE optimized geometry
data_LaZnNi
_chemical_formula_sum 'La2 Zn2 Ni2'
_cell_length_a 4.9247
_cell_length_b 4.9247
_cell_length_c 6.0119
_cell_angle_alpha 90.00
_cell_angle_beta 90.00
_cell_angle_gamma 120.00
_symmetry_space_group_name_H-M 'P 63/m m c'
_symmetry_Int_Tables_number 194
_symmetry_space_group_name_Hall '-P 6c 2c'
loop_
_atom_site_label
_atom_site_type_symbol
_atom_site_fract_x
_atom_site_fract_y
_atom_site_fract_z
La1 La 0.3333 0.6667 0.2500
Zn1 Zn 0.3333 0.6667 0.7500
Ni1 Ni 0.0000 0.0000 0.0000
# Mass density, g/cm³: 6.917


--- two ---
# LaZnNi GGA-PBE optimized geometry
data_LaZnNi
_chemical_formula_sum 'La4 Zn4 Ni4'
_cell_length_a 11.402
_cell_length_b 4.284
_cell_length_c 5.133
_cell_angle_alpha 90.00
_cell_angle_beta 100.64
_cell_angle_gamma 90.00
_symmetry_space_group_name_H-M 'C 1 2/m 1'
_symmetry_Int_Tables_number 12
loop_
_symmetry_equiv_pos_as_xyz
'x,y,z'
'-x,-y,-z'
'-x,y,-z'
'x,-y,z'
'x+1/2,y+1/2,z'
'-x+1/2,-y+1/2,-z'
'-x+1/2,y+1/2,-z'
'x+1/2,-y+1/2,z'
loop_
_atom_site_label
_atom_site_type_symbol
_atom_site_fract_x
_atom_site_fract_y
_atom_site_fract_z
La1 La 0.119 0.000 0.307
Zn1 Zn 0.098 0.500 0.796
Ni1 Ni 0.212 0.000 0.865
# Mass density, g/cm³: 7.090


Which is the most stable structure? two is the most stable.